Entry 1:
Compound: GaBiTe3
Source: the Alexandria database
Functional: PBE
Structure: relaxed

```
GaBiTe3
1.0
5.966 0.000 0.000
0.000 5.966 0.000
0.000 0.000 5.966
Te Bi Ga
3 1 1
Cartesian
0.000 2.983 0.000
0.000 0.000 2.983
2.983 0.000 0.000
0.000 0.000 0.000
2.983 2.983 2.983
```

Summary:
**Space group**: No. 221
**Calculated volume**: 212.3 Å³ per cell
**Distance to the lowest polymorph of the same formula**: 60.8 kJ per mole of atoms
**Formation energy without anion corrections**: 0.42 eV/atom

---

Entry 2:
Compound: Al2Ga2Ag5
Source: the Alexandria database
Functional: PBE
Structure: relaxed

```
Al2Ga2Ag5
1.0
7.034 0.000 0.000
0.000 6.931 0.000
0.000 -3.466 6.765
Al Ga Ag
4 4 10
Cartesian
4.477 5.963 0.000
2.557 0.968 0.000
0.960 4.434 0.000
6.074 2.497 0.000
0.000 0.000 2.756
3.517 3.466 2.756
0.000 3.466 4.009
3.517 0.000 4.009
0.000 0.000 0.000
3.517 3.466 0.000
5.863 4.520 1.845
1.172 2.411 1.845
2.346 5.877 1.845
4.689 1.054 1.845
1.172 -1.054 4.920
5.863 1.054 4.920
4.689 -2.411 4.920
2.346 2.411 4.920
```

Summary:
**ΔH_f (0 K)**: 0.08 eV/atom
**Space group**: No. 64
**Calculated volume**: 329.8 Å³ per cell
**Distance to the lowest polymorph of the same formula**: 5.7 kJ per mole of atoms

---

Entry 3:
Compound: CuGeTeI
Source: the Alexandria database
Functional: PBE
Structure: relaxed

```
CuGeTeI
1.0
4.360 -0.007 -0.590
2.170 3.781 -0.590
1.165 0.673 7.471
Cu Ge Te I
1 1 1 1
Cartesian
3.895 2.251 0.780
4.828 2.790 5.838
1.692 0.978 0.856
6.745 3.898 3.853
```

Summary:
**Space group**: No. 8
**Calculated volume**: 126.8 Å³ per cell
**Formation energy without anion corrections**: -0.04 eV/atom

---

Entry 4:
Compound: Li2ZrCl4
Source: the Alexandria database
Functional: PBE
Structure: relaxed

```
Li2ZrCl4
1.0
5.146 0.000 0.000
0.000 5.146 0.000
2.573 2.573 6.584
Li Zr Cl
2 1 4
Cartesian
5.146 5.146 4.838
2.573 2.573 1.746
0.000 0.000 0.000
5.146 5.146 2.592
2.573 2.573 3.992
0.000 2.573 0.000
2.573 0.000 0.000
```

Summary:
**Space group**: No. 139
**Calculated volume**: 174.3 Å³ per cell
**Formation energy without anion corrections**: -1.31 eV/atom

---

Entry 5:
Compound: TlTe3Au
Source: the Alexandria database
Functional: PBE
Structure: relaxed

```
TlTe3Au
1.0
-4.676 -2.104 -1.908
8.381 -10.289 10.375
-4.072 3.194 6.457
Tl Te Au
4 12 4
Cartesian
0.747 -7.754 9.616
-3.136 0.036 8.603
-1.114 -1.445 5.308
2.769 -9.235 6.321
-3.843 1.106 5.307
-1.742 -5.285 9.147
1.188 -8.515 13.242
0.047 -6.684 6.314
3.476 -10.306 9.618
1.375 -3.914 5.778
-1.555 -0.685 1.683
-0.414 -2.515 8.610
4.097 -7.442 8.922
-2.427 -3.353 2.773
-4.464 -1.758 6.002
2.060 -5.846 12.151
-2.338 -1.052 -0.954
2.155 -3.548 8.416
-2.036 1.597 3.229
1.852 -6.197 4.233
```

Summary:
**Space group**: No. 14
**Calculated volume**: 697.3 Å³ per cell
**Distance to the lowest polymorph of the same formula**: 0.0 kJ per mole of atoms
**Formation energy without anion corrections**: -0.05 eV/atom

---

Entry 6:
Compound: KNa3Br
Source: the Alexandria database
Functional: PBE
Structure: relaxed

```
KNa3Br
1.0
-4.076 0.032 -5.249
3.461 -4.980 -2.718
-3.946 -4.401 3.038
Na K Br
3 1 1
Cartesian
1.730 -2.490 -1.359
-1.973 -2.200 1.519
-2.038 0.016 -2.624
0.000 0.000 0.000
-2.281 -4.674 -2.465
```

Summary:
**Space group**: No. 221
**Calculated volume**: 293.5 Å³ per cell
**Distance to the lowest polymorph of the same formula**: 54.7 kJ per mole of atoms
**Formation energy without anion corrections**: 0.12 eV/atom

---

> Which value of calculated volume does entry 3 give?

126.8 Å³ per cell